First-principles (PBE) data for MgSiTe4 after structural relaxation, as listed in Alexandria.

Space-group type: No. 216
E: -0.195 Ry per atom

Lattice parameters (Å, degrees): 6.3086 6.3086 6.3086 60.00 60.00 60.00
Last column: nearest neighbours and their distance in Å.
Fractional coordinates of all 6 atoms:
Mg 0.0000 0.0000 0.0000  12 Te 3.70, 4 Si 3.86
Si 0.7500 0.7500 0.7500  12 Te 3.70, 4 Mg 3.86
Te 0.3748 0.3748 0.3748  6 Te 3.15-3.16
Te 0.3748 0.3748 0.8755  6 Te 3.15-3.16
Te 0.3748 0.8755 0.3748  6 Te 3.15-3.16
Te 0.8755 0.3748 0.3748  6 Te 3.15-3.16


First-principles (PBE) data for MgSiTe after structural relaxation, as listed in Alexandria.

Space-group type: No. 8
Polymorph energy (0 for the lowest one): 0.013 eV per atom

Lattice parameters (Å, degrees): 6.4477 6.4477 7.4518 110.86 110.86 36.68
Last column: nearest neighbours and their distance in Å.
Fractional coordinates of all 6 atoms:
Mg 0.0000 0.0000 0.0000  1 Si 2.65, 3 Te 2.84-2.88
Mg 0.6726 0.6726 0.6601  1 Si 2.63, 2 Te 2.85
Si 0.2264 0.2264 0.2241  2 Si 2.39, 1 Mg 2.65, 1 Te 2.66
Si 0.7760 0.7760 0.4077  2 Si 2.39, 1 Te 2.61, 1 Mg 2.63
Te 0.0011 0.0011 0.6194  1 Si 2.61, 3 Mg 2.84-2.85
Te 0.3262 0.3262 0.9624  1 Si 2.66, 2 Mg 2.88


First-principles (PBE) data for MgSi2Te after structural relaxation, as listed in Alexandria.

Space-group type: No. 25
Polymorph energy (0 for the lowest one): 0.000 eV per atom

Lattice parameters (Å, degrees): 3.5845 3.6828 7.0636 90.00 90.00 90.00
Last column: nearest neighbours and their distance in Å.
Fractional coordinates of all 4 atoms:
Mg 0.0000 0.0000 0.0000  1 Si 2.63, 4 Te 2.89
Si 0.0000 0.0000 0.3718  4 Si 2.61, 1 Mg 2.63
Si 0.5000 0.5000 0.4387  4 Si 2.61, 1 Te 2.64
Te 0.5000 0.5000 0.8124  1 Si 2.64, 4 Mg 2.89


First-principles (PBE) data for Mg2SiTe after structural relaxation, as listed in Alexandria.

Space-group type: No. 122
Polymorph energy (0 for the lowest one): 0.202 eV per atom

Lattice parameters (Å, degrees): 7.0722 7.0722 7.0722 121.71 121.71 87.07
Last column: nearest neighbours and their distance in Å.
Fractional coordinates of all 8 atoms:
Mg 0.1127 0.6250 0.9877  2 Si 2.70, 2 Te 2.81
Mg 0.3750 0.3627 0.4877  2 Si 2.70, 2 Te 2.81
Mg 0.6373 0.1250 0.0123  2 Si 2.70, 2 Te 2.81
Mg 0.8750 0.8873 0.5123  2 Si 2.70, 2 Te 2.81
Si 0.0000 0.0000 0.0000  4 Mg 2.70
Si 0.7500 0.2500 0.5000  4 Mg 2.70
Te 0.2500 0.7500 0.5000  4 Mg 2.81
Te 0.5000 0.5000 0.0000  4 Mg 2.81


Copy entry 2 word for word.
First-principles (PBE) data for MgSiTe after structural relaxation, as listed in Alexandria.

Space-group type: No. 8
Polymorph energy (0 for the lowest one): 0.013 eV per atom

Lattice parameters (Å, degrees): 6.4477 6.4477 7.4518 110.86 110.86 36.68
Last column: nearest neighbours and their distance in Å.
Fractional coordinates of all 6 atoms:
Mg 0.0000 0.0000 0.0000  1 Si 2.65, 3 Te 2.84-2.88
Mg 0.6726 0.6726 0.6601  1 Si 2.63, 2 Te 2.85
Si 0.2264 0.2264 0.2241  2 Si 2.39, 1 Mg 2.65, 1 Te 2.66
Si 0.7760 0.7760 0.4077  2 Si 2.39, 1 Te 2.61, 1 Mg 2.63
Te 0.0011 0.0011 0.6194  1 Si 2.61, 3 Mg 2.84-2.85
Te 0.3262 0.3262 0.9624  1 Si 2.66, 2 Mg 2.88